# 1
First-principles (PBE-GGA) data for an optimized crystal structure of MnGe, as listed in Alexandria.

The structure in POSCAR format:
```
MnGe
1.0
4.706 0.000 0.000
0.000 7.868 0.000
0.000 0.000 6.946
Mn Ge
8 8
direct
0.220 0.140 0.069
0.720 0.360 0.931
0.780 0.640 0.431
0.280 0.860 0.569
0.521 0.626 0.758
0.021 0.874 0.242
0.479 0.126 0.742
0.979 0.374 0.258
0.714 0.091 0.095
0.214 0.409 0.905
0.286 0.591 0.405
0.786 0.909 0.595
0.227 0.858 0.913
0.727 0.642 0.087
0.773 0.358 0.587
0.273 0.142 0.413
```

Symmetry = P2_12_12_1
Density of states at the Fermi level = 0.62 states/eV per atom


# 2
First-principles (PBE-GGA) data for an optimized crystal structure of Na2Tl2Pt, as listed in Alexandria.

The structure in POSCAR format:
```
Na2Tl2Pt
1.0
4.682 0.000 0.000
0.000 4.682 0.000
-2.341 -2.341 12.465
Na Tl Pt
4 4 2
direct
0.823 0.823 0.646
0.573 0.073 0.146
0.927 0.427 0.854
0.177 0.177 0.354
0.437 0.937 0.875
0.687 0.687 0.375
0.313 0.313 0.625
0.063 0.563 0.125
0.500 0.500 0.000
0.250 0.750 0.500
```

Symmetry = I4_1/amd
Density of states at the Fermi level = 0.27 states/eV per atom


# 3
First-principles (PBE-GGA) data for an optimized crystal structure of InBiB2N, as listed in Alexandria.

The structure in POSCAR format:
```
InBiB2N
1.0
4.225 0.000 0.000
0.000 6.361 0.000
0.000 0.000 4.225
B N Bi In
2 1 1 1
direct
0.000 0.000 0.500
0.500 0.000 0.000
0.500 0.500 0.500
0.000 0.500 0.000
0.000 0.000 0.000
```

Symmetry = P4/mmm
ΔE_f (raw) = 2.422 eV per atom
Density of states at the Fermi level = 0.48 states/eV per atom


Number 1: electronic total energy -6.778 eV/atom. Number 2: electronic total energy -2.820 eV/atom. Number 3: electronic total energy -3.238 eV/atom.